Material: CaPm2Ir
Method: DFT, PBE-GGA
State: optimized geometry

Cell: 6.6912 7.4831 10.3132 Å, 90.00 90.00 90.00°
Last column: nearest neighbours and their distance in Å.
Atoms (fractional coordinates):
Ir: 0.9558 0.2500 0.3534  6 Pm 2.81-3.06, 1 Ca 2.97
Ir: 0.0442 0.7500 0.6466  6 Pm 2.81-3.06, 1 Ca 2.97
Ir: 0.4558 0.2500 0.6466  6 Pm 2.81-3.06, 1 Ca 2.97
Ir: 0.5442 0.7500 0.3534  6 Pm 2.81-3.06, 1 Ca 2.97
Pm: 0.2500 0.4999 0.8007  2 Ir 2.81
Pm: 0.7500 0.5000 0.5458  4 Ir 2.91-3.06
Pm: 0.7500 0.5001 0.1993  2 Ir 2.81
Pm: 0.2500 0.5000 0.4542  4 Ir 2.91-3.06
Pm: 0.7500 0.0001 0.1993  2 Ir 2.81
Pm: 0.2500 0.0000 0.4542  4 Ir 2.91-3.06
Pm: 0.2500 0.9999 0.8007  2 Ir 2.81
Pm: 0.7500 0.0000 0.5458  4 Ir 2.91-3.06
Ca: 0.2686 0.7501 0.1271  1 Ir 2.97
Ca: 0.7686 0.7499 0.8729  1 Ir 2.97
Ca: 0.2314 0.2501 0.1271  1 Ir 2.97
Ca: 0.7314 0.2499 0.8729  1 Ir 2.97

Crystal system   orthorhombic
DOS at the Fermi energy   0.873 states/eV per atom

---

Material: CaPm3Ir
Method: DFT, PBE-GGA
State: optimized geometry

Cell: 3.9152 7.6031 11.3250 Å, 91.57 90.00 104.92°
Last column: nearest neighbours and their distance in Å.
Atoms (fractional coordinates):
Pm: 0.9345 0.8691 0.6203  4 Ir 2.99-3.02
Pm: 0.5608 0.1216 0.8355  1 Ir 2.90
Pm: 0.4392 0.8784 0.1645  1 Ir 2.90
Pm: 0.0655 0.1309 0.3797  4 Ir 2.99-3.02
Pm: 0.2158 0.4316 0.6462  2 Ir 2.83
Pm: 0.7842 0.5684 0.3538  2 Ir 2.83
Ca: 0.8346 0.6692 0.9113  7 Pm 3.65-3.97, 4 Ca 3.78-3.92
Ca: 0.1654 0.3308 0.0887  7 Pm 3.65-3.97, 4 Ca 3.78-3.92
Ir: 0.5844 0.1688 0.5823  7 Pm 2.83-3.02, 1 Ir 3.06
Ir: 0.4156 0.8312 0.4177  7 Pm 2.83-3.02, 1 Ir 3.06

Crystal system   monoclinic
DOS at the Fermi energy   1.244 states/eV per atom

---

Material: CaPm5Ir3
Method: DFT, PBE-GGA
State: optimized geometry

Cell: 7.9146 7.9146 10.4423 Å, 70.86 70.86 72.39°
Last column: nearest neighbours and their distance in Å.
Atoms (fractional coordinates):
Pm: 0.7678 0.7678 0.0339  3 Ir 2.83-2.88
Pm: 0.2322 0.2322 0.9661  3 Ir 2.83-2.88
Pm: 0.4301 0.4301 0.3715  3 Ir 2.80-2.87
Pm: 0.2995 0.7005 0.0000  3 Ir 2.80-2.84
Pm: 0.7005 0.2995 0.0000  3 Ir 2.80-2.84
Pm: 0.0339 0.6395 0.6680  3 Ir 2.80-2.84
Pm: 0.9661 0.3605 0.3320  3 Ir 2.80-2.84
Pm: 0.6395 0.0339 0.6680  3 Ir 2.80-2.84
Pm: 0.3605 0.9661 0.3320  3 Ir 2.80-2.84
Pm: 0.5699 0.5699 0.6285  3 Ir 2.80-2.87
Ir: 0.3392 0.3392 0.6695  5 Pm 2.80-2.85, 1 Ca 2.91
Ir: 0.6608 0.6608 0.3305  5 Pm 2.80-2.85, 1 Ca 2.91
Ir: 0.0000 0.0000 0.5000  4 Pm 2.80, 2 Ca 2.86
Ir: 0.3332 0.3332 0.1671  6 Pm 2.84-2.88
Ir: 0.6668 0.6668 0.8329  6 Pm 2.84-2.88
Ir: 0.0000 0.0000 0.0000  4 Pm 2.80-2.84, 2 Ca 2.89
Ca: 0.8973 0.8973 0.3023  3 Ir 2.86-2.91
Ca: 0.1027 0.1027 0.6977  3 Ir 2.86-2.91

Crystal system   monoclinic
DOS at the Fermi energy   0.644 states/eV per atom

---

Values for total magnetic moment, Bohr magnetons per cell, ordered as above
0.00 0.00 0.00
Values for formation enthalpy at 0 K, eV/atom, ordered as above
-0.406 -0.285 -0.484